# 1
The following is a DFT calculation (GGA-PBEsol) of a relaxed structure of RbBiAsPt2.

Cell: 4.954 4.954 5.420 Å, 90.00 90.00 90.00°
Fractional coordinates of all 5 atoms:
As1 0.000 0.000 0.500
Rb1 0.000 0.000 0.000
Bi1 0.500 0.500 0.500
Pt1 0.000 0.500 0.000
Pt2 0.500 0.000 0.000

Output
SG	P4/mmm (123)
energy	-15.00	eV for the cell shown
total moment	0.0	μB/f.u.
formation enthalpy at 0 K	1868.0	meV/atom

# 2
The following is a DFT calculation (GGA-PBEsol) of a relaxed structure of TiZn3S.

Cell: 4.550 4.550 4.550 Å, 90.00 90.00 90.00°
Each line ends with the local moment (μB).
Fractional coordinates of all 5 atoms:
Zn1 0.000 0.500 0.000  0.01
Zn2 0.000 0.000 0.500  0.01
Zn3 0.500 0.000 0.000  0.01
S1 0.000 0.000 0.000  0.05
Ti1 0.500 0.500 0.500  1.37

Output
SG	Pm-3m (221)
energy	-14.04	eV for the cell shown
total moment	1.9	μB/f.u.

# 3
The following is a DFT calculation (GGA-PBEsol) of a relaxed structure of Cd5Cu.

Cell: 3.096 3.096 11.876 Å, 90.00 90.00 90.00°
Fractional coordinates of all 6 atoms:
Cd1 0.000 0.000 0.863
Cd2 0.000 0.000 0.137
Cd3 0.500 0.500 0.681
Cd4 0.500 0.500 0.319
Cd5 0.000 0.000 0.500
Cu1 0.500 0.500 0.000

Output
SG	P4/mmm (123)
energy	-10.05	eV for the cell shown
total moment	0.0	μB/f.u.
relative energy among the computed polymorphs	0.003	eV/atom
formation enthalpy at 0 K	44.5	meV/atom

# 4
The following is a DFT calculation (GGA-PBEsol) of a relaxed structure of SiPt2W.

Cell: 2.726 4.825 4.907 Å, 107.48 90.00 106.41°
Fractional coordinates of all 4 atoms:
Pt1 0.989 0.978 0.987
Pt2 0.778 0.555 0.300
Si1 0.510 0.020 0.435
W1 0.223 0.446 0.778

Output
SG	Cm (8)
energy	-34.73	eV for the cell shown
total moment	0.0	μB/f.u.

# 5
The following is a DFT calculation (GGA-PBEsol) of a relaxed structure of CsRu2SF.

Cell: 5.248 5.097 5.097 Å, 90.00 90.00 90.00°
Each line ends with the local moment (μB).
Fractional coordinates of all 5 atoms:
Cs1 0.000 0.000 0.000  0.02
Ru1 0.000 0.000 0.500  2.09
Ru2 0.000 0.500 0.000  2.09
S1 0.500 0.000 0.000  0.28
F1 0.500 0.500 0.500  0.14

Output
SG	P4/mmm (123)
energy	-15.25	eV for the cell shown
total moment	5.1	μB/f.u.

# 6
The following is a DFT calculation (GGA-PBEsol) of a relaxed structure of Li2FeCu.

Cell: 2.503 4.456 5.136 Å, 115.71 104.10 90.00°
Each line ends with the local moment (μB).
Fractional coordinates of all 4 atoms:
Cu1 0.502 0.502 0.005  0.07
Fe1 0.238 0.738 0.475  2.51
Li1 0.999 0.999 0.998  -0.01
Li2 0.761 0.261 0.521  -0.02

Output
SG	Imm2 (44)
energy	-15.97	eV for the cell shown
total moment	2.4	μB/f.u.
formation enthalpy at 0 K	315.8	meV/atom

# 7
The following is a DFT calculation (GGA-PBEsol) of a relaxed structure of YAlTeN2.

Cell: 4.274 4.274 6.192 Å, 90.00 90.00 90.00°
Each line ends with the local moment (μB).
Fractional coordinates of all 5 atoms:
Y1 0.000 0.000 0.000  0.10
Te1 0.000 0.000 0.500  0.04
Al1 0.500 0.500 0.500  -0.01
N1 0.000 0.500 0.000  0.58
N2 0.500 0.000 0.000  0.58

Output
SG	P4/mmm (123)
energy	-27.99	eV for the cell shown
total moment	1.7	μB/f.u.

# 8
The following is a DFT calculation (GGA-PBEsol) of a relaxed structure of MnBeHg2.

Cell: 3.137 4.466 5.008 Å, 109.21 90.00 90.00°
Each line ends with the local moment (μB).
Fractional coordinates of all 4 atoms:
Be1 0.000 0.500 0.500  -0.05
Mn1 0.500 0.500 0.000  3.48
Hg1 0.000 0.000 0.000  -0.05
Hg2 0.500 0.000 0.500  -0.03

Output
SG	P2/m (10)
energy	-13.00	eV for the cell shown
total moment	3.4	μB/f.u.
formation enthalpy at 0 K	473.1	meV/atom

# 9
The following is a DFT calculation (GGA-PBEsol) of a relaxed structure of Ce3AlN.

Cell: 4.781 4.781 4.781 Å, 90.00 90.00 90.00°
Each line ends with the local moment (μB).
Fractional coordinates of all 5 atoms:
Ce1 0.000 0.500 0.500  0.47
Ce2 0.500 0.000 0.500  0.47
Ce3 0.500 0.500 0.000  0.47
Al1 0.000 0.000 0.000  -0.01
N1 0.500 0.500 0.500  -0.04

Output
SG	Pm-3m (221)
energy	-36.13	eV for the cell shown
total moment	1.6	μB/f.u.

# 10
The following is a DFT calculation (GGA-PBEsol) of a relaxed structure of SrCrPt2.

Cell: 3.002 4.909 5.876 Å, 114.69 104.80 90.00°
Each line ends with the local moment (μB).
Fractional coordinates of all 4 atoms:
Cr1 0.285 0.785 0.571  3.46
Pt1 0.996 0.996 0.992  0.05
Pt2 0.725 0.225 0.449  0.05
Sr1 0.494 0.494 0.988  0.02

Output
SG	Imm2 (44)
energy	-25.75	eV for the cell shown
total moment	4.0	μB/f.u.
relative energy among the computed polymorphs	0.255	eV/atom
formation enthalpy at 0 K	64.6	meV/atom

# 11
The following is a DFT calculation (GGA-PBEsol) of a relaxed structure of Al2Cu5Si.

Cell: 3.861 3.861 7.122 Å, 105.73 105.73 90.00°
Fractional coordinates of all 8 atoms:
Si1 0.000 0.000 0.000
Al1 0.252 0.252 0.504
Al2 0.748 0.748 0.496
Cu1 0.500 0.500 0.000
Cu2 0.121 0.621 0.243
Cu3 0.621 0.121 0.243
Cu4 0.879 0.379 0.757
Cu5 0.379 0.879 0.757

Output
SG	I4/mmm (139)
energy	-36.48	eV for the cell shown
total moment	0.0	μB/f.u.
relative energy among the computed polymorphs	0.032	eV/atom

# 12
The following is a DFT calculation (GGA-PBEsol) of a relaxed structure of KSr3Rh.

Cell: 5.942 5.942 5.942 Å, 90.00 90.00 90.00°
Fractional coordinates of all 5 atoms:
Sr1 0.000 0.500 0.000
Sr2 0.000 0.000 0.500
Sr3 0.500 0.000 0.000
K1 0.500 0.500 0.500
Rh1 0.000 0.000 0.000

Output
SG	Pm-3m (221)
energy	-15.08	eV for the cell shown
total moment	0.0	μB/f.u.
relative energy among the computed polymorphs	0.031	eV/atom
formation enthalpy at 0 K	-56.5	meV/atom

# 13
The following is a DFT calculation (GGA-PBEsol) of a relaxed structure of Sr2TcPt.

Cell: 4.402 4.742 5.829 Å, 114.00 90.00 90.00°
Fractional coordinates of all 4 atoms:
Pt1 0.500 0.704 0.408
Sr1 0.000 0.106 0.212
Sr2 0.500 0.397 0.794
Tc1 0.000 0.793 0.587

Output
SG	Amm2 (38)
energy	-21.55	eV for the cell shown
total moment	0.0	μB/f.u.
relative energy among the computed polymorphs	0.079	eV/atom
formation enthalpy at 0 K	89.5	meV/atom

# 14
The following is a DFT calculation (GGA-PBEsol) of a relaxed structure of NdGePd2.

Cell: 5.656 6.989 7.527 Å, 90.00 90.00 90.00°
Fractional coordinates of all 16 atoms:
Nd1 0.647 0.250 0.032
Nd2 0.853 0.250 0.532
Nd3 0.353 0.750 0.968
Nd4 0.147 0.750 0.468
Ge1 0.351 0.250 0.379
Ge2 0.149 0.250 0.879
Ge3 0.649 0.750 0.621
Ge4 0.851 0.750 0.121
Pd1 0.089 0.447 0.177
Pd2 0.411 0.053 0.677
Pd3 0.911 0.947 0.823
Pd4 0.589 0.553 0.323
Pd5 0.911 0.553 0.823
Pd6 0.589 0.947 0.323
Pd7 0.089 0.053 0.177
Pd8 0.411 0.447 0.677

Output
SG	Pnma (62)
energy	-102.38	eV for the cell shown
total moment	0.0	μB/f.u.
formation enthalpy at 0 K	-892.8	meV/atom

no.,N(E_F) (states/eV per atom)
1,0.7256
2,1.0617
3,0.2949
4,0.4108
5,0.9459
6,0.7835
7,0.7389
8,0.4304
9,1.9078
10,0.6970
11,0.3372
12,0.9006
13,1.1835
14,0.3960